A relaxed structure of MgHg4Pb2, computed with GGA-PBE.

```
data_MgHg4Pb2
_chemical_formula_sum 'Mg2 Hg8 Pb4'
_symmetry_space_group_name_H-M 'I 4/m m m'
_symmetry_Int_Tables_number 139
_symmetry_space_group_name_Hall '-I 4 2'
_cell_length_a 4.696
_cell_length_b 4.696
_cell_length_c 17.340
_cell_angle_alpha 90.00
_cell_angle_beta 90.00
_cell_angle_gamma 90.00
loop_
_atom_site_label
_atom_site_type_symbol
_atom_site_fract_x
_atom_site_fract_y
_atom_site_fract_z
Mg1 Mg 0.000 0.000 0.000
Hg1 Hg 0.000 0.500 0.101
Pb1 Pb 0.000 0.000 0.256
```

## Properties
* calculated volume: 382.36 Å³ per cell
* ΔE_f: -0.02 eV per atom
* energy relative to the lowest polymorph listed for this composition: 0 meV/atom
* total DFT energy (no corrections): -1.48 eV per atom